DFT (PBE) results for a geometry-optimized LuCdFeBi structure.

a = 5.0207 Å, b = 5.0207 Å, c = 5.0207 Å
α = 60.00°, β = 60.00°, γ = 60.00°
Fractional coordinates of all 4 atoms:
Bi 0.0000 0.0000 0.0000
Cd 0.2500 0.2500 0.2500
Fe 0.7500 0.7500 0.7500
Lu 0.5000 0.5000 0.5000

## Properties
E above lowest polymorph ... 73 meV per atom
DFT total energy ... -16.9 eV per cell

***

DFT (PBE) results for a geometry-optimized MgCdFeBi structure.

a = 4.9229 Å, b = 4.9229 Å, c = 4.9229 Å
α = 60.00°, β = 60.00°, γ = 60.00°
Fractional coordinates of all 4 atoms:
Bi 0.0000 0.0000 0.0000
Cd 0.5000 0.5000 0.5000
Fe 0.7500 0.7500 0.7500
Mg 0.2500 0.2500 0.2500

## Properties
E above lowest polymorph ... 0 meV per atom
DFT total energy ... -13.5 eV per cell

***

DFT (PBE) results for a geometry-optimized CdFeNiBi structure.

a = 4.6004 Å, b = 4.6004 Å, c = 4.6004 Å
α = 60.00°, β = 60.00°, γ = 60.00°
Fractional coordinates of all 4 atoms:
Bi 0.0000 0.0000 0.0000
Cd 0.5000 0.5000 0.5000
Fe 0.7500 0.7500 0.7500
Ni 0.2500 0.2500 0.2500

## Properties
E above lowest polymorph ... 0 meV per atom
DFT total energy ... -17.4 eV per cell

***

DFT (PBE) results for a geometry-optimized CdFeReBi structure.

a = 4.6670 Å, b = 4.6670 Å, c = 4.6670 Å
α = 60.00°, β = 60.00°, γ = 60.00°
Fractional coordinates of all 4 atoms:
Bi 0.0000 0.0000 0.0000
Cd 0.5000 0.5000 0.5000
Fe 0.7500 0.7500 0.7500
Re 0.2500 0.2500 0.2500

## Properties
E above lowest polymorph ... 0 meV per atom
DFT total energy ... -22.0 eV per cell

***

DFT (PBE) results for a geometry-optimized ZrCdFeBi structure.

a = 4.8763 Å, b = 4.8763 Å, c = 4.8763 Å
α = 60.00°, β = 60.00°, γ = 60.00°
Fractional coordinates of all 4 atoms:
Bi 0.0000 0.0000 0.0000
Cd 0.5000 0.5000 0.5000
Fe 0.7500 0.7500 0.7500
Zr 0.2500 0.2500 0.2500

## Properties
E above lowest polymorph ... 0 meV per atom
DFT total energy ... -20.5 eV per cell

***

DFT (PBE) results for a geometry-optimized ZrCdFeBi structure.

a = 4.9092 Å, b = 4.9092 Å, c = 4.9092 Å
α = 60.00°, β = 60.00°, γ = 60.00°
Fractional coordinates of all 4 atoms:
Bi 0.0000 0.0000 0.0000
Cd 0.2500 0.2500 0.2500
Fe 0.7500 0.7500 0.7500
Zr 0.5000 0.5000 0.5000

## Properties
E above lowest polymorph ... 9 meV per atom
DFT total energy ... -20.5 eV per cell